1.
! Mn2SiGeB, optimized geometry, DFT PBE-GGA; values from VASP
&SYSTEM
  ibrav = 0, nat = 5, ntyp = 4
/
ATOMIC_SPECIES
Mn 54.94 Mn.upf
Si 28.09 Si.upf
Ge 72.64 Ge.upf
B 10.81 B.upf
ATOMIC_POSITIONS angstrom
Mn 0.000 2.316 0.000
Mn 2.316 0.000 0.000
Si 0.000 0.000 0.000
Ge 2.316 2.316 1.875
B 0.000 0.000 1.875
CELL_PARAMETERS angstrom
4.632 0.000 0.000
0.000 4.632 0.000
0.000 0.000 3.749
! **N(E_F)**: 0.6995 states/eV/atom
! **SG**: No. 123
! **E_form (uncorrected)**: 81.26 kJ per mole of atoms
! **Raw total energy**: -6.17 eV/atom

2.
! TaMnGe2B, optimized geometry, DFT PBE-GGA; values from VASP
&SYSTEM
  ibrav = 0, nat = 5, ntyp = 4
/
ATOMIC_SPECIES
Ta 180.95 Ta.upf
Mn 54.94 Mn.upf
Ge 72.64 Ge.upf
B 10.81 B.upf
ATOMIC_POSITIONS angstrom
Ta 0.000 0.000 0.000
Mn 2.135 2.135 0.000
Ge 0.000 2.135 2.165
Ge 2.135 0.000 2.165
B 0.000 0.000 2.165
CELL_PARAMETERS angstrom
4.270 0.000 0.000
0.000 4.270 0.000
0.000 0.000 4.331
! **ΔE_f**: 642 meV/atom
! **N(E_F)**: 0.5609 states/eV/atom
! **SG**: No. 123
! **Raw total energy**: -6.74 eV/atom

3.
! MnGeBTe2, optimized geometry, DFT PBE-GGA; values from VASP
&SYSTEM
  ibrav = 0, nat = 5, ntyp = 4
/
ATOMIC_SPECIES
Mn 54.94 Mn.upf
Ge 72.64 Ge.upf
B 10.81 B.upf
Te 127.60 Te.upf
ATOMIC_POSITIONS angstrom
Mn 0.000 0.000 0.000
Ge 2.613 2.613 1.913
B 0.000 0.000 1.913
Te 0.000 2.613 0.000
Te 2.613 0.000 0.000
CELL_PARAMETERS angstrom
5.227 0.000 0.000
0.000 5.227 0.000
0.000 0.000 3.825
! **N(E_F)**: 0.7136 states/eV/atom
! **SG**: No. 123
! **E_form (uncorrected)**: 56.27 kJ per mole of atoms
! **Raw total energy**: -4.77 eV/atom

4.
! GeBMo2, optimized geometry, DFT PBE-GGA; values from VASP
&SYSTEM
  ibrav = 0, nat = 8, ntyp = 3
/
ATOMIC_SPECIES
Ge 72.64 Ge.upf
B 10.81 B.upf
Mo 95.94 Mo.upf
ATOMIC_POSITIONS angstrom
Ge 0.000 0.000 0.000
Ge 0.000 2.503 2.845
B 2.503 0.000 2.845
B 0.000 0.000 5.690
Mo 1.252 -0.827 4.267
Mo 1.676 1.252 1.422
Mo 1.252 3.331 -1.422
Mo 0.827 1.252 7.112
CELL_PARAMETERS angstrom
-2.503 2.503 5.690
2.503 -2.503 5.690
2.503 2.503 -5.690
! **Relative energy among the computed polymorphs**: 1028 meV/atom
! **ΔE_f**: 910 meV/atom
! **N(E_F)**: 1.3155 states/eV/atom
! **SG**: No. 122
! **Raw total energy**: -7.33 eV/atom

5.
! GeBMo3, optimized geometry, DFT PBE-GGA; values from VASP
&SYSTEM
  ibrav = 0, nat = 5, ntyp = 3
/
ATOMIC_SPECIES
Ge 72.64 Ge.upf
B 10.81 B.upf
Mo 95.94 Mo.upf
ATOMIC_POSITIONS angstrom
Ge 0.000 0.000 0.000
B 2.096 2.096 2.096
Mo 0.000 2.096 2.096
Mo 2.096 0.000 2.096
Mo 2.096 2.096 0.000
CELL_PARAMETERS angstrom
4.192 0.000 0.000
0.000 4.192 0.000
0.000 0.000 4.192
! **Relative energy among the computed polymorphs**: 215 meV/atom
! **ΔE_f**: 250 meV/atom
! **N(E_F)**: 0.6203 states/eV/atom
! **SG**: No. 221
! **Raw total energy**: -8.51 eV/atom

6.
! Ge2BMo, optimized geometry, DFT PBE-GGA; values from VASP
&SYSTEM
  ibrav = 0, nat = 8, ntyp = 3
/
ATOMIC_SPECIES
Ge 72.64 Ge.upf
B 10.81 B.upf
Mo 95.94 Mo.upf
ATOMIC_POSITIONS angstrom
Ge 1.632 1.165 -0.659
Ge 2.099 -1.632 3.294
Ge 1.632 2.099 1.977
Ge 1.165 4.895 0.659
B 0.000 0.000 0.000
B 0.000 3.263 1.318
Mo 3.263 0.000 1.318
Mo 0.000 0.000 2.635
CELL_PARAMETERS angstrom
-3.263 3.263 2.635
3.263 -3.263 2.635
3.263 3.263 -2.635
! **ΔE_f**: 634 meV/atom
! **N(E_F)**: 0.9814 states/eV/atom
! **SG**: No. 122
! **Raw total energy**: -6.05 eV/atom

7.
! GeBMo3, optimized geometry, DFT PBE-GGA; values from VASP
&SYSTEM
  ibrav = 0, nat = 10, ntyp = 3
/
ATOMIC_SPECIES
Ge 72.64 Ge.upf
B 10.81 B.upf
Mo 95.94 Mo.upf
ATOMIC_POSITIONS angstrom
Ge 3.263 3.500 3.411
Ge 3.263 -3.500 1.137
B 3.263 0.000 0.000
B 3.263 0.000 2.274
Mo 1.637 0.982 3.411
Mo 3.263 1.855 1.137
Mo 1.637 -0.982 1.137
Mo 4.890 0.982 3.411
Mo 3.263 -1.855 3.411
Mo 4.890 -0.982 1.137
CELL_PARAMETERS angstrom
3.263 -4.797 0.000
3.263 4.797 0.000
0.000 0.000 4.548
! **Relative energy among the computed polymorphs**: 0 meV/atom
! **ΔE_f**: 35 meV/atom
! **N(E_F)**: 0.5760 states/eV/atom
! **SG**: No. 63
! **Raw total energy**: -8.72 eV/atom

8.
! GeB3Mo, optimized geometry, DFT PBE-GGA; values from VASP
&SYSTEM
  ibrav = 0, nat = 5, ntyp = 3
/
ATOMIC_SPECIES
Ge 72.64 Ge.upf
B 10.81 B.upf
Mo 95.94 Mo.upf
ATOMIC_POSITIONS angstrom
Ge 0.000 0.000 0.000
B 0.000 2.096 2.096
B 2.096 0.000 2.096
B 2.096 2.096 0.000
Mo 2.096 2.096 2.096
CELL_PARAMETERS angstrom
4.191 0.000 0.000
0.000 4.191 0.000
0.000 0.000 4.191
! **Relative energy among the computed polymorphs**: 0 meV/atom
! **ΔE_f**: 1334 meV/atom
! **N(E_F)**: 0.5645 states/eV/atom
! **SG**: No. 221
! **Raw total energy**: -5.76 eV/atom